Record 1
Here is an optimized crystal structure of KBa2B2O6 from Alexandria. Energies are from GGA-PBE.

Lattice parameters (Å, degrees): 5.487 5.798 7.174 115.21 90.00 118.24
Atoms (fractional coordinates):
B  0.026  0.052  0.231
B  0.974  0.948  0.769
O  0.270  0.106  0.827
O  0.730  0.894  0.173
O  0.180  0.360  0.358
O  0.836  0.106  0.827
O  0.820  0.640  0.642
O  0.164  0.894  0.173
K  0.500  0.000  0.500
Ba  0.702  0.403  0.194
Ba  0.298  0.597  0.806

Raw formation energy in eV per atom: -2.437
SG: C2/m, No. 12

***

Record 2
Here is an optimized crystal structure of K2BaB2O6 from Alexandria. Energies are from GGA-PBE.

Lattice parameters (Å, degrees): 5.944 5.944 7.038 90.00 90.00 120.00
Atoms (fractional coordinates):
O  0.870  0.583  0.227
O  0.130  0.417  0.773
O  0.286  0.870  0.773
O  0.583  0.714  0.773
O  0.417  0.286  0.227
O  0.714  0.130  0.227
Ba  0.000  0.000  0.000
B  0.333  0.667  0.779
B  0.667  0.333  0.221
K  0.667  0.333  0.642
K  0.333  0.667  0.358

Raw formation energy in eV per atom: -2.082
SG: P-3, No. 147

***

Record 3
Here is an optimized crystal structure of K2BaBO4 from Alexandria. Energies are from GGA-PBE.

Lattice parameters (Å, degrees): 6.301 5.582 5.582 71.43 55.65 55.65
Atoms (fractional coordinates):
O  0.230  0.272  0.000
O  0.502  0.728  0.000
O  0.498  0.000  0.272
O  0.770  0.000  0.728
B  0.500  0.000  0.000
K  0.000  0.500  0.500
K  0.500  0.500  0.500
Ba  0.000  0.000  0.000

Raw formation energy in eV per atom: -1.748
SG: I-42m, No. 121

***

Record 4
Here is an optimized crystal structure of KBaBP2 from Alexandria. Energies are from GGA-PBE.

Lattice parameters (Å, degrees): 5.781 5.520 5.781 90.00 90.00 90.00
Atoms (fractional coordinates):
P  0.500  0.000  0.000
P  0.000  0.000  0.500
Ba  0.000  0.000  0.000
K  0.500  0.500  0.500
B  0.000  0.500  0.000

Energy of formation from the pure elements in eV/atom: 1.268
SG: P4/mmm, No. 123

***

Record 5
Here is an optimized crystal structure of KBaBRh2 from Alexandria. Energies are from GGA-PBE.

Lattice parameters (Å, degrees): 5.019 5.066 5.019 90.00 90.00 90.00
Atoms (fractional coordinates):
Ba  0.500  0.500  0.500
K  0.000  0.000  0.000
Rh  0.000  0.000  0.500
Rh  0.500  0.000  0.000
B  0.000  0.500  0.000

Energy of formation from the pure elements in eV/atom: 1.738
SG: P4/mmm, No. 123

***

Record 6
Here is an optimized crystal structure of K2BaBRu from Alexandria. Energies are from GGA-PBE.

Lattice parameters (Å, degrees): 6.140 5.393 6.140 90.00 90.00 90.00
Atoms (fractional coordinates):
Ba  0.000  0.500  0.000
K  0.500  0.000  0.000
K  0.000  0.000  0.500
B  0.500  0.500  0.500
Ru  0.000  0.000  0.000

Energy of formation from the pure elements in eV/atom: 1.516
SG: P4/mmm, No. 123

***

Number 1: volume 15.998 Å³/atom, total magnetic moment 1.02 μB/f.u.. Number 2: volume 19.573 Å³/atom, total magnetic moment 1.85 μB/f.u.. Number 3: volume 16.728 Å³/atom, total magnetic moment 1.01 μB/f.u.. Number 4: volume 36.894 Å³/atom, total magnetic moment 0.25 μB/f.u.. Number 5: volume 25.521 Å³/atom, total magnetic moment 0.00 μB/f.u.. Number 6: volume 40.658 Å³/atom, total magnetic moment 2.41 μB/f.u..